A geometry-optimized LuSiIr structure, computed with PBE.

Unit cell a=4.166 b=4.166 c=3.686 alpha=90.00 beta=90.00 gamma=120.00
Atoms (fractional coordinates):
Lu 0.000 0.000 0.000
Si 0.333 0.667 0.500
Ir 0.667 0.333 0.500

Values from the calculation:
Calculated density, Mg/m³: 11.85
V, A^3/atom: 18.46
Calculated total energy, eV/atom: -7.216
Formation energy from raw total energies, eV per atom: -0.947